1.
Compound: CdHgMo
Source: the Alexandria database
Functional: PBE-GGA
Structure: relaxed

Unit cell a=2.988 b=2.988 c=7.476 alpha=90.00 beta=90.00 gamma=120.00
Positions (direct):
Cd  0.000  0.000  0.988
Hg  0.667  0.333  0.345
Mo  0.333  0.667  0.667

- Excess energy over the best structure of this formula in the dataset: 17.0 meV per atom
- Theoretical density: 11.75 Mg/m³
- D(E_F): 0.85 states/eV/atom

2.
Compound: FeIrOs
Source: the Alexandria database
Functional: PBE-GGA
Structure: relaxed

Unit cell a=2.737 b=6.183 c=9.475 alpha=90.00 beta=90.00 gamma=90.00
Site moments in Bohr magnetons follow the coordinates.
Positions (direct):
Ir  0.250  0.640  0.718  -0.02
Ir  0.750  0.860  0.218  -0.02
Ir  0.750  0.360  0.282  -0.02
Ir  0.250  0.140  0.782  -0.02
Os  0.750  0.839  0.936  -0.14
Os  0.750  0.339  0.564  -0.14
Os  0.250  0.161  0.064  -0.14
Os  0.250  0.661  0.436  -0.14
Fe  0.750  0.434  0.909  1.67
Fe  0.750  0.934  0.591  1.67
Fe  0.250  0.066  0.409  1.67
Fe  0.250  0.566  0.091  1.67

- Excess energy over the best structure of this formula in the dataset: 48.3 meV per atom
- Theoretical density: 18.15 Mg/m³
- D(E_F): 0.90 states/eV/atom

3.
Compound: UPH2
Source: the Alexandria database
Functional: PBE-GGA
Structure: relaxed

Unit cell a=3.660 b=3.660 c=4.410 alpha=65.48 beta=65.48 gamma=60.00
Site moments in Bohr magnetons follow the coordinates.
Positions (direct):
H  0.796  0.796  0.613  -0.01
H  0.204  0.204  0.387  -0.01
P  0.000  0.000  0.000  -0.06
U  0.500  0.500  0.500  1.06

- Excess energy over the best structure of this formula in the dataset: 16.4 meV per atom
- Theoretical density: 10.02 Mg/m³
- D(E_F): 0.53 states/eV/atom

4.
Compound: Pr2SbS
Source: the Alexandria database
Functional: PBE-GGA
Structure: relaxed

Unit cell a=4.272 b=4.272 c=7.787 alpha=74.08 beta=74.08 gamma=60.00
Positions (direct):
Pr  0.259  0.259  0.224
Pr  0.073  0.073  0.780
Sb  0.499  0.499  0.502
S  0.669  0.669  0.993

- Excess energy over the best structure of this formula in the dataset: 75.8 meV per atom
- Theoretical density: 6.20 Mg/m³
- D(E_F): 0.66 states/eV/atom

5.
Compound: Zr2TiSe
Source: the Alexandria database
Functional: PBE-GGA
Structure: relaxed

Unit cell a=4.069 b=4.069 c=10.423 alpha=78.74 beta=78.74 gamma=90.00
Positions (direct):
Zr  0.634  0.125  0.250
Zr  0.375  0.366  0.750
Zr  0.116  0.625  0.250
Zr  0.875  0.884  0.750
Ti  0.500  0.500  0.000
Ti  0.250  0.750  0.500
Se  0.000  0.000  0.000
Se  0.750  0.250  0.500

- Total DFT energy (no corrections): -7.139 eV per atom
- Theoretical density: 6.19 Mg/m³
- D(E_F): 0.96 states/eV/atom

6.
Compound: Tl2ReTc
Source: the Alexandria database
Functional: PBE-GGA
Structure: relaxed

Unit cell a=4.714 b=4.714 c=4.714 alpha=60.00 beta=60.00 gamma=60.00
Site moments in Bohr magnetons follow the coordinates.
Positions (direct):
Re  0.500  0.500  0.500  0.84
Tl  0.250  0.250  0.250  0.00
Tl  0.750  0.750  0.750  0.00
Tc  0.000  0.000  0.000  1.18

- Excess energy over the best structure of this formula in the dataset: 750.9 meV per atom
- Theoretical density: 15.54 Mg/m³
- D(E_F): 0.84 states/eV/atom

7.
Compound: YAgIr2
Source: the Alexandria database
Functional: PBE-GGA
Structure: relaxed

Unit cell a=3.421 b=3.421 c=6.217 alpha=90.00 beta=90.00 gamma=90.00
Positions (direct):
Ir  0.000  0.000  0.523
Ir  0.000  0.000  0.977
Y  0.500  0.500  0.250
Ag  0.500  0.500  0.750

- Excess energy over the best structure of this formula in the dataset: 216.9 meV per atom
- Theoretical density: 13.27 Mg/m³
- D(E_F): 1.27 states/eV/atom

8.
Compound: LaCoNi2
Source: the Alexandria database
Functional: PBE-GGA
Structure: relaxed

Unit cell a=4.506 b=4.506 c=4.506 alpha=60.00 beta=60.00 gamma=60.00
Site moments in Bohr magnetons follow the coordinates.
Positions (direct):
Ni  0.250  0.250  0.250  0.05
Ni  0.750  0.750  0.750  0.05
La  0.500  0.500  0.500  -0.06
Co  0.000  0.000  0.000  1.38

- Total DFT energy (no corrections): -5.679 eV per atom
- Theoretical density: 8.09 Mg/m³
- D(E_F): 2.37 states/eV/atom

9.
Compound: SmMgZn
Source: the Alexandria database
Functional: PBE-GGA
Structure: relaxed

Unit cell a=3.387 b=4.911 c=4.911 alpha=120.00 beta=90.00 gamma=90.00
Positions (direct):
Zn  0.167  0.333  0.667
Sm  0.667  0.667  0.333
Mg  0.167  0.000  0.000

- Total DFT energy (no corrections): -2.713 eV per atom
- Theoretical density: 5.63 Mg/m³
- D(E_F): 0.83 states/eV/atom

10.
Compound: BaCa2NiH8
Source: the Alexandria database
Functional: PBE-GGA
Structure: relaxed

Unit cell a=4.842 b=4.842 c=7.479 alpha=90.00 beta=90.00 gamma=120.00
Positions (direct):
Ca  0.333  0.667  0.870
Ca  0.667  0.333  0.130
H  0.158  0.315  0.128
H  0.333  0.667  0.576
H  0.685  0.842  0.128
H  0.315  0.158  0.872
H  0.667  0.333  0.424
H  0.842  0.685  0.872
H  0.158  0.842  0.128
H  0.842  0.158  0.872
Ba  0.000  0.000  0.500
Ni  0.000  0.000  0.000

- Total DFT energy (no corrections): -3.652 eV per atom
- Theoretical density: 3.11 Mg/m³
- D(E_F): 0.19 states/eV/atom

11.
Compound: Ca2Cu2Pd
Source: the Alexandria database
Functional: PBE-GGA
Structure: relaxed

Unit cell a=4.309 b=5.652 c=9.765 alpha=82.94 beta=77.25 gamma=67.59
Positions (direct):
Pd  0.780  0.100  0.340
Pd  0.220  0.900  0.660
Cu  0.865  0.714  0.555
Cu  0.988  0.132  0.892
Cu  0.135  0.286  0.445
Cu  0.012  0.868  0.108
Ca  0.519  0.304  0.659
Ca  0.302  0.277  0.119
Ca  0.481  0.696  0.341
Ca  0.698  0.723  0.881

- Excess energy over the best structure of this formula in the dataset: 33.5 meV per atom
- Theoretical density: 4.86 Mg/m³
- D(E_F): 0.48 states/eV/atom

12.
Compound: Tb2HoTmSc
Source: the Alexandria database
Functional: PBE-GGA
Structure: relaxed

Unit cell a=6.304 b=6.297 c=8.538 alpha=111.64 beta=90.00 gamma=90.00
Positions (direct):
Sc  0.250  0.845  0.689
Sc  0.750  0.155  0.311
Tb  0.500  0.249  0.000
Tb  0.500  0.751  0.000
Tb  0.000  0.249  0.000
Tb  0.000  0.751  0.000
Tm  0.750  0.750  0.500
Tm  0.250  0.250  0.500
Ho  0.750  0.340  0.680
Ho  0.250  0.660  0.320

- Total DFT energy (no corrections): -4.539 eV per atom
- Theoretical density: 7.34 Mg/m³
- D(E_F): 1.52 states/eV/atom

13.
Compound: CaAcPmTm
Source: the Alexandria database
Functional: PBE-GGA
Structure: relaxed

Unit cell a=5.945 b=5.945 c=5.945 alpha=60.00 beta=60.00 gamma=60.00
Positions (direct):
Ca  0.250  0.250  0.250
Pm  0.000  0.000  0.000
Tm  0.750  0.750  0.750
Ac  0.500  0.500  0.500

- Total DFT energy (no corrections): -3.725 eV per atom
- Theoretical density: 6.49 Mg/m³
- D(E_F): 1.51 states/eV/atom

14.
Compound: NbSiRhBr2
Source: the Alexandria database
Functional: PBE-GGA
Structure: relaxed

Unit cell a=5.021 b=5.021 c=4.980 alpha=90.00 beta=90.00 gamma=90.00
Site moments in Bohr magnetons follow the coordinates.
Positions (direct):
Br  0.000  0.500  0.000  0.00
Br  0.500  0.000  0.000  0.00
Rh  0.000  0.000  0.500  -0.01
Si  0.500  0.500  0.500  0.07
Nb  0.000  0.000  0.000  0.17

- Total DFT energy (no corrections): -4.482 eV per atom
- Theoretical density: 5.07 Mg/m³
- D(E_F): 0.86 states/eV/atom

15.
Compound: CaTl2InO6
Source: the Alexandria database
Functional: PBE-GGA
Structure: relaxed

Unit cell a=5.774 b=5.774 c=6.094 alpha=61.72 beta=61.72 gamma=59.99
Site moments in Bohr magnetons follow the coordinates.
Positions (direct):
O  0.400  0.705  0.760  0.17
O  0.932  0.607  0.248  0.13
O  0.135  0.400  0.760  0.17
O  0.214  0.932  0.248  0.13
O  0.705  0.135  0.760  0.17
O  0.607  0.214  0.247  0.13
In  0.314  0.314  0.059  -0.01
Tl  0.021  0.021  0.937  0.02
Tl  0.527  0.527  0.419  0.00
Ca  0.807  0.807  0.579  0.00

- Total DFT energy (no corrections): -5.146 eV per atom
- Theoretical density: 7.44 Mg/m³
- D(E_F): 0.73 states/eV/atom

16.
Compound: Tb3Ce2PuAs6
Source: the Alexandria database
Functional: PBE-GGA
Structure: relaxed

Unit cell a=4.169 b=8.320 c=9.313 alpha=102.91 beta=102.93 gamma=90.00
Site moments in Bohr magnetons follow the coordinates.
Positions (direct):
As  0.667  0.082  0.333  -0.04
As  0.333  0.918  0.667  -0.04
As  0.666  0.585  0.333  -0.02
As  0.999  0.249  0.998  -0.06
As  0.334  0.415  0.667  -0.02
As  0.001  0.751  0.002  -0.06
Ce  0.166  0.332  0.331  0.57
Ce  0.834  0.668  0.669  0.57
Tb  0.167  0.834  0.334  0.01
Tb  0.833  0.166  0.666  0.01
Tb  0.500  0.500  0.000  0.00
Pu  0.500  0.000  0.000  5.11

- Total DFT energy (no corrections): -7.084 eV per atom
- Theoretical density: 7.86 Mg/m³
- D(E_F): 1.80 states/eV/atom

17.
Compound: CdReP
Source: the Alexandria database
Functional: PBE-GGA
Structure: relaxed

Unit cell a=6.849 b=3.012 c=5.281 alpha=90.00 beta=105.07 gamma=90.00
Positions (direct):
Cd  0.871  0.500  0.362
Cd  0.871  0.000  0.862
Re  0.507  0.500  0.905
Re  0.507  0.000  0.405
P  0.271  0.500  0.496
P  0.271  0.000  0.996

- Excess energy over the best structure of this formula in the dataset: 11.9 meV per atom
- Theoretical density: 10.40 Mg/m³
- D(E_F): 0.79 states/eV/atom

18.
Compound: MgGaCl2F
Source: the Alexandria database
Functional: PBE-GGA
Structure: relaxed

Unit cell a=5.138 b=5.138 c=3.848 alpha=90.00 beta=90.00 gamma=90.00
Positions (direct):
Ga  0.500  0.500  0.500
F  0.000  0.000  0.500
Mg  0.000  0.000  0.000
Cl  0.000  0.500  0.000
Cl  0.500  0.000  0.000

- Total DFT energy (no corrections): -3.864 eV per atom
- Theoretical density: 3.01 Mg/m³
- D(E_F): 0.00 states/eV/atom

19.
Compound: CeHo2Ga9
Source: the Alexandria database
Functional: PBE-GGA
Structure: relaxed

Unit cell a=4.283 b=4.283 c=12.860 alpha=90.00 beta=90.00 gamma=90.00
Positions (direct):
Ho  0.000  0.000  0.664
Ho  0.000  0.000  0.336
Ga  0.500  0.500  0.667
Ga  0.000  0.500  0.500
Ga  0.500  0.000  0.170
Ga  0.500  0.500  0.000
Ga  0.000  0.500  0.170
Ga  0.500  0.000  0.830
Ga  0.000  0.500  0.830
Ga  0.500  0.500  0.333
Ga  0.500  0.000  0.500
Ce  0.000  0.000  0.000

- Total DFT energy (no corrections): -4.056 eV per atom
- Theoretical density: 7.72 Mg/m³
- D(E_F): 0.46 states/eV/atom

20.
Compound: InGaHg2
Source: the Alexandria database
Functional: PBE-GGA
Structure: relaxed

Unit cell a=3.308 b=3.308 c=10.944 alpha=81.31 beta=81.31 gamma=60.00
Positions (direct):
Ga  0.000  0.000  0.000
In  0.500  0.500  0.500
Hg  0.085  0.085  0.746
Hg  0.915  0.915  0.254

- Total DFT energy (no corrections): -1.508 eV per atom
- Theoretical density: 9.53 Mg/m³
- D(E_F): 0.49 states/eV/atom